Computed, not measured: an optimized crystal structure of Tl3V2InCl9 at the PBE level of DFT.

Structure (extended XYZ):
```
15
Lattice="7.093 0.000 0.000 -3.546 6.143 0.000 0.000 0.000 10.065" Properties=species:S:1:pos:R:3 pbc="T T T"
Tl 0.000 0.000 0.000
Tl 0.000 4.095 7.424
Tl 3.546 2.048 2.642
V 0.000 4.095 1.500
V 3.546 2.048 8.565
In 0.000 0.000 5.033
Cl -1.773 3.071 0.000
Cl 0.000 2.120 2.791
Cl -1.710 5.083 2.791
Cl 1.836 1.060 7.274
Cl 3.546 0.000 0.000
Cl 1.773 3.071 0.000
Cl 1.710 5.083 2.791
Cl 5.257 1.060 7.274
Cl 3.546 4.023 7.274
```

Summary:
- magnetic moment (μB/cell) = 5.00
- formation energy without anion corrections (eV/f.u.) = -15.76